1.
This record from Alexandria via LeMat-Bulk describes Mn3Co2O8 after structural relaxation. The functional is GGA+U.

Values from the calculation:
Its polymorph energy (0 for the lowest one) is 0.018 eV per atom. The calculation puts the total energy at -88.83 eV per cell. Its crystal system is monoclinic. The value obtained for the spin magnetization is 14.999 μB/cell.

Unit cell a=5.689 b=5.689 c=5.004 alpha=98.48 beta=98.48 gamma=61.51
Positions (direct):
Mn 0.000 0.000 0.000
Mn 0.254 0.746 0.500
Mn 0.746 0.254 0.500
Co 0.294 0.294 0.923
Co 0.706 0.706 0.077
O 0.100 0.100 0.361
O 0.108 0.656 0.139
O 0.344 0.892 0.861
O 0.396 0.396 0.615
O 0.604 0.604 0.385
O 0.656 0.108 0.139
O 0.892 0.344 0.861
O 0.900 0.900 0.639

2.
This record from Alexandria via LeMat-Bulk describes MnCoO3 after structural relaxation. The functional is GGA+U.

Values from the calculation:
The calculation puts the total energy at -30.86 eV per cell. Its crystal system is cubic. The calculation puts the density of states at the Fermi level at 1.0 states/eV/f.u. The value obtained for the spin magnetization is 6.158 μB/cell.

Unit cell a=3.697 b=3.697 c=3.697 alpha=90.00 beta=90.00 gamma=90.00
Positions (direct):
Mn 0.000 0.000 0.000
Co 0.500 0.500 0.500
O 0.000 0.000 0.500
O 0.000 0.500 0.000
O 0.500 0.000 0.000

3.
This record from Alexandria via LeMat-Bulk describes Mn2CoO4 after structural relaxation. The functional is GGA+U.

Values from the calculation:
Its polymorph energy (0 for the lowest one) is 0.016 eV per atom. The calculation puts the total energy at -199.66 eV per cell. Its crystal system is triclinic. The value obtained for the spin magnetization is 42.000 μB/cell.

Unit cell a=6.170 b=6.202 c=8.274 alpha=89.91 beta=89.59 gamma=84.07
Positions (direct):
Mn 0.000 0.000 0.000
Mn 0.001 0.501 0.504
Mn 0.253 0.006 0.381
Mn 0.256 0.749 0.750
Mn 0.261 0.257 0.753
Mn 0.503 0.998 0.000
Mn 0.745 0.743 0.251
Mn 0.746 0.249 0.254
Co 0.253 0.501 0.129
Co 0.503 0.499 0.504
Co 0.750 0.995 0.624
Co 0.752 0.498 0.875
O 0.019 0.489 0.739
O 0.019 0.991 0.758
O 0.242 0.766 0.989
O 0.260 0.727 0.516
O 0.261 0.234 0.991
O 0.276 0.292 0.514
O 0.486 0.010 0.763
O 0.489 0.510 0.739
O 0.515 0.489 0.268
O 0.522 0.988 0.236
O 0.729 0.713 0.494
O 0.744 0.763 0.012
O 0.745 0.265 0.492
O 0.760 0.234 0.014
O 0.978 0.006 0.240
O 0.985 0.509 0.268

4.
This record from Alexandria via LeMat-Bulk describes Mn2CoO4 after structural relaxation. The functional is GGA+U.

Values from the calculation:
Its polymorph energy (0 for the lowest one) is 0.000 eV per atom. The calculation puts the total energy at -100.05 eV per cell. Its crystal system is tetragonal. The value obtained for the spin magnetization is 22.000 μB/cell.

Unit cell a=6.245 b=6.245 c=6.245 alpha=124.30 beta=124.30 gamma=82.70
Positions (direct):
Mn 0.000 0.000 0.000
Mn 0.000 0.000 0.500
Mn 0.000 0.500 0.000
Mn 0.500 0.000 0.500
Co 0.375 0.625 0.750
Co 0.625 0.375 0.250
O 0.222 0.245 0.977
O 0.231 0.755 0.477
O 0.245 0.222 0.477
O 0.245 0.769 0.023
O 0.755 0.231 0.977
O 0.755 0.778 0.523
O 0.769 0.245 0.523
O 0.778 0.755 0.023

5.
This record from Alexandria via LeMat-Bulk describes MnCo2O4 after structural relaxation. The functional is GGA+U.

Values from the calculation:
Its polymorph energy (0 for the lowest one) is 0.003 eV per atom. The calculation puts the total energy at -91.97 eV per cell. Its crystal system is cubic. The value obtained for the spin magnetization is 10.000 μB/cell.

Unit cell a=5.852 b=5.852 c=5.852 alpha=60.00 beta=60.00 gamma=60.00
Positions (direct):
Mn 0.125 0.125 0.125
Mn 0.875 0.875 0.875
Co 0.000 0.500 0.500
Co 0.500 0.000 0.500
Co 0.500 0.500 0.000
Co 0.500 0.500 0.500
O 0.266 0.266 0.266
O 0.266 0.266 0.701
O 0.266 0.701 0.266
O 0.299 0.734 0.734
O 0.701 0.266 0.266
O 0.734 0.299 0.734
O 0.734 0.734 0.299
O 0.734 0.734 0.734

6.
This record from Alexandria via LeMat-Bulk describes Mn2CoO4 after structural relaxation. The functional is GGA+U.

Values from the calculation:
Its polymorph energy (0 for the lowest one) is 0.650 eV per atom. The calculation puts the total energy at -45.48 eV per cell. Its crystal system is tetragonal. The calculation puts the density of states at the Fermi level at 3.2 states/eV/f.u. The value obtained for the spin magnetization is 11.000 μB/cell.

Unit cell a=4.695 b=4.695 c=4.695 alpha=109.43 beta=109.43 gamma=109.56
Positions (direct):
Mn 0.000 0.500 0.500
Mn 0.500 0.000 0.500
Co 0.000 0.000 0.000
O 0.063 0.937 0.500
O 0.437 0.563 0.500
O 0.563 0.063 0.126
O 0.937 0.437 0.874

7.
This record from Alexandria via LeMat-Bulk describes MnCoO3 after structural relaxation. The functional is GGA+U.

Values from the calculation:
The calculation puts the total energy at -66.83 eV per cell. Its crystal system is monoclinic. The calculation puts the density of states at the Fermi level at 0.6 states/eV/f.u. The value obtained for the spin magnetization is 11.994 μB/cell.

Unit cell a=5.643 b=5.643 c=6.868 alpha=106.51 beta=106.51 gamma=30.54
Positions (direct):
Mn 0.155 0.155 0.325
Mn 0.845 0.845 0.675
Co 0.359 0.359 0.147
Co 0.641 0.641 0.853
O 0.158 0.158 0.050
O 0.211 0.211 0.631
O 0.459 0.459 0.700
O 0.541 0.541 0.300
O 0.789 0.789 0.369
O 0.842 0.842 0.950

8.
This record from Alexandria via LeMat-Bulk describes MnCoO after structural relaxation. The functional is GGA+U.

Values from the calculation:
The calculation puts the total energy at -17.87 eV per cell. Its crystal system is trigonal. The calculation puts the density of states at the Fermi level at 1.4 states/eV/f.u. The value obtained for the spin magnetization is 6.744 μB/cell.

Unit cell a=3.454 b=3.454 c=3.454 alpha=78.77 beta=78.77 gamma=78.77
Positions (direct):
Mn 0.000 0.000 0.000
Co 0.561 0.561 0.561
O 0.291 0.291 0.291